Entry 1:
Computed, not measured: an optimized crystal structure of CeNpTcOs at the PBE level of DFT.

The structure in POSCAR format:
```
CeNpTcOs
1.0
4.825 0.000 0.000
2.412 4.178 0.000
2.412 1.393 3.939
Ce Np Tc Os
1 1 1 1
Direct
0.000 0.000 0.000
0.500 0.500 0.500
0.750 0.750 0.750
0.250 0.250 0.250
```

Computed properties:
Uncorrected energy   -40.111 eV for the cell shown

Entry 2:
Computed, not measured: an optimized crystal structure of CeNp2P4 at the PBE level of DFT.

The structure in POSCAR format:
```
CeNp2P4
1.0
-0.118 -2.924 -2.930
5.890 3.697 -0.999
5.559 -7.023 6.785
Ce Np P
2 4 8
Direct
0.393 0.786 0.250
0.607 0.214 0.750
0.869 0.737 0.556
0.869 0.737 0.944
0.131 0.263 0.444
0.131 0.263 0.056
0.500 0.000 0.500
0.244 0.488 0.650
0.500 0.000 0.000
0.756 0.512 0.150
0.756 0.512 0.350
0.974 0.949 0.750
0.244 0.488 0.850
0.026 0.051 0.250
```

Computed properties:
Uncorrected energy   -118.002 eV for the cell shown

Entry 3:
Computed, not measured: an optimized crystal structure of CeNpP2 at the PBE level of DFT.

The structure in POSCAR format:
```
CeNpP2
1.0
-2.599 2.919 -0.984
-3.730 -0.024 1.526
-0.038 4.535 5.298
Ce Np P
1 1 2
Direct
0.000 0.000 0.000
0.500 0.500 0.500
0.246 0.246 0.261
0.754 0.754 0.739
```

Computed properties:
Uncorrected energy   -34.413 eV for the cell shown
Offset from the most stable computed form   0.000 eV/atom

Entry 4:
Computed, not measured: an optimized crystal structure of Ce2NpP3 at the PBE level of DFT.

The structure in POSCAR format:
```
Ce2NpP3
1.0
3.947 0.000 -0.899
-0.205 3.941 -0.900
-0.010 -0.010 9.065
P Ce Np
3 2 1
Direct
0.599 0.600 0.204
0.934 0.936 0.874
0.269 0.271 0.544
0.101 0.102 0.207
0.768 0.769 0.541
0.434 0.436 0.874
```

Computed properties:
Uncorrected energy   -48.690 eV for the cell shown

Entry 5:
Computed, not measured: an optimized crystal structure of CeNp5P6 at the PBE level of DFT.

The structure in POSCAR format:
```
CeNp5P6
1.0
6.782 -0.108 -1.279
-3.666 5.707 -1.279
0.135 0.242 6.907
Np P Ce
5 6 1
Direct
0.333 0.667 0.000
0.836 0.164 0.500
0.500 0.500 0.500
0.164 0.836 0.500
0.667 0.333 0.000
0.085 0.425 0.255
0.425 0.085 0.255
0.257 0.257 0.748
0.915 0.575 0.745
0.743 0.743 0.252
0.575 0.915 0.745
0.000 0.000 0.000
```

Computed properties:
Uncorrected energy   -114.740 eV for the cell shown

Entry 6:
Computed, not measured: an optimized crystal structure of CeNp4P5 at the PBE level of DFT.

The structure in POSCAR format:
```
CeNp4P5
1.0
-0.973 -2.811 2.674
5.348 -0.582 4.326
-2.297 4.778 7.179
Ce P Np
1 5 4
Direct
0.000 0.000 0.000
0.000 0.500 0.500
0.395 0.313 0.897
0.605 0.687 0.103
0.798 0.098 0.307
0.202 0.902 0.693
0.202 0.394 0.203
0.598 0.203 0.602
0.798 0.606 0.797
0.402 0.797 0.398
```

Computed properties:
Uncorrected energy   -94.659 eV for the cell shown